[1]
# CaAl2Cr2

A relaxed structure of CaAl2Cr2 (PBE, the Alexandria database).

Cell: 7.7517 7.7517 2.6991 Å, 90.00 90.00 90.00°
With the nearest neighbours (Å) after each atom.
Element x y z (fractional)
Ca 0.0000 0.0000 0.0000  2 Ca 2.70
Ca 0.5000 0.5000 0.0000  2 Ca 2.70
Al 0.1840 0.3160 0.5000  6 Cr 2.67-2.71, 2 Al 2.70
Al 0.3160 0.8160 0.5000  6 Cr 2.67-2.71, 2 Al 2.70
Al 0.6840 0.1840 0.5000  6 Cr 2.67-2.71, 2 Al 2.70
Al 0.8160 0.6840 0.5000  6 Cr 2.67-2.71, 2 Al 2.70
Cr 0.1016 0.6016 0.0000  1 Cr 2.23
Cr 0.3984 0.1016 0.0000  1 Cr 2.23
Cr 0.6016 0.8984 0.0000  1 Cr 2.23
Cr 0.8984 0.3984 0.0000  1 Cr 2.23

DOS at the Fermi energy ... 7.0 states/eV/cell
DFT total energy ... -5.645 eV/atom
Energy relative to the elements ... 0.102 eV/atom
Total magnetic moment ... 0.4 μB/f.u.
Offset from the most stable computed form ... 0.0 meV per atom


[2]
# Pr3YTm4

A relaxed structure of Pr3YTm4 (PBE, the Alexandria database).

Cell: 11.4439 7.3322 6.2813 Å, 90.00 90.00 90.00°
With the nearest neighbours (Å) after each atom.
Element x y z (fractional)
Pr 0.0000 0.1301 0.0000  4 Pr 3.57, 6 Tm 3.58-3.75, 2 Y 3.66-3.70
Pr 0.2491 0.8714 0.8384  6 Tm 3.55-3.74, 2 Y 3.57-3.59, 4 Pr 3.57-3.66
Pr 0.2509 0.1286 0.3384  6 Tm 3.55-3.74, 2 Y 3.57-3.59, 4 Pr 3.57-3.66
Pr 0.5000 0.8699 0.5000  4 Pr 3.57, 6 Tm 3.58-3.75, 2 Y 3.66-3.70
Pr 0.7491 0.1286 0.3384  6 Tm 3.55-3.74, 2 Y 3.57-3.59, 4 Pr 3.57-3.66
Pr 0.7509 0.8714 0.8384  6 Tm 3.55-3.74, 2 Y 3.57-3.59, 4 Pr 3.57-3.66
Y 0.0000 0.8682 0.4964  6 Tm 3.53-3.75, 6 Pr 3.57-3.70
Y 0.5000 0.1318 0.9964  6 Tm 3.53-3.75, 6 Pr 3.57-3.70
Tm 0.0000 0.3796 0.4999  6 Tm 3.50-3.60, 4 Pr 3.56-3.63, 2 Y 3.58-3.75
Tm 0.0000 0.6182 0.0008  6 Tm 3.52-3.60, 4 Pr 3.55-3.75, 2 Y 3.61-3.66
Tm 0.2482 0.6188 0.3339  6 Tm 3.50-3.59, 1 Y 3.53, 5 Pr 3.58-3.74
Tm 0.2518 0.3812 0.8339  6 Tm 3.50-3.59, 1 Y 3.53, 5 Pr 3.58-3.74
Tm 0.5000 0.3818 0.5008  6 Tm 3.52-3.60, 4 Pr 3.55-3.75, 2 Y 3.61-3.66
Tm 0.5000 0.6204 0.9999  6 Tm 3.50-3.60, 4 Pr 3.56-3.63, 2 Y 3.58-3.75
Tm 0.7482 0.3812 0.8339  6 Tm 3.50-3.59, 1 Y 3.53, 5 Pr 3.58-3.74
Tm 0.7518 0.6188 0.3339  6 Tm 3.50-3.59, 1 Y 3.53, 5 Pr 3.58-3.74

DOS at the Fermi energy ... 28.8 states/eV/cell
DFT total energy ... -4.812 eV/atom
Energy relative to the elements ... 0.024 eV/atom
Total magnetic moment ... 0.0 μB/f.u.


[3]
# Sr4RhCl

A relaxed structure of Sr4RhCl (PBE, the Alexandria database).

Cell: 9.8463 9.8463 7.3499 Å, 104.26 104.26 127.58°
With the nearest neighbours (Å) after each atom.
Element x y z (fractional)
Sr 0.0523 0.4390 0.7350  2 Rh 2.96-3.00
Sr 0.1573 0.3008 0.2406  1 Rh 2.89, 2 Cl 3.14-3.15
Sr 0.3008 0.1573 0.7406  1 Rh 2.89, 2 Cl 3.14-3.15
Sr 0.4390 0.0523 0.2350  2 Rh 2.96-3.00
Sr 0.5610 0.9477 0.7650  2 Rh 2.96-3.00
Sr 0.6992 0.8427 0.2594  1 Rh 2.89, 2 Cl 3.14-3.15
Sr 0.8427 0.6992 0.7594  1 Rh 2.89, 2 Cl 3.14-3.15
Sr 0.9477 0.5610 0.2650  2 Rh 2.96-3.00
Rh 0.1880 0.8120 0.7500  6 Sr 2.89-3.00
Rh 0.8120 0.1880 0.2500  6 Sr 2.89-3.00
Cl 0.4507 0.5493 0.7500  6 Sr 3.14-3.33
Cl 0.5493 0.4507 0.2500  6 Sr 3.14-3.33

DOS at the Fermi energy ... 6.8 states/eV/cell
DFT total energy ... -3.363 eV/atom
Formation energy from raw total energies ... -708 meV/atom
Total magnetic moment ... 0.0 μB/f.u.
Offset from the most stable computed form ... 0.0 meV per atom


[4]
# TmPbSe2O8

A relaxed structure of TmPbSe2O8 (PBE, the Alexandria database).

Cell: 5.3456 5.3456 7.7086 Å, 90.16 90.16 68.69°
With the nearest neighbours (Å) after each atom.
Element x y z (fractional)
Tm 0.0000 0.0000 0.0000  6 O 2.20-2.26
Pb 0.0000 0.0000 0.5000  6 O 2.56-2.63
Se 0.3682 0.3682 0.2300  4 O 1.68-1.78
Se 0.6318 0.6318 0.7700  4 O 1.68-1.78
O 0.2100 0.7247 0.2194  1 Se 1.78
O 0.2429 0.2429 0.0631  1 Se 1.69
O 0.2753 0.7900 0.7806  1 Se 1.78
O 0.2825 0.2825 0.4237  1 Se 1.68
O 0.7175 0.7175 0.5763  1 Se 1.68
O 0.7247 0.2100 0.2194  1 Se 1.78
O 0.7571 0.7571 0.9369  1 Se 1.69
O 0.7900 0.2753 0.7806  1 Se 1.78

DOS at the Fermi energy ... 2.6 states/eV/cell
DFT total energy ... -5.885 eV/atom
Formation energy from raw total energies ... -1318 meV/atom
Total magnetic moment ... 0.0 μB/f.u.